(1)
{"formula": "KFe2Ru", "functional": "PBE-GGA", "state": "relaxed", "cell": [[2.5786, 0.0000, 0.0000], [0.0000, 5.0306, 0.0000], [0.0000, 0.0000, 5.1791]], "species": ["K", "Fe", "Fe", "Ru"], "frac_coords": [[0.0000, 0.0000, 0.0000], [0.0000, 0.5000, 0.5000], [0.5000, 0.5000, 0.0000], [0.5000, 0.0000, 0.5000]], "formation_energy_ev_per_fu": 5.37, "m_tot_mub_per_fu": 6.1}

***

(2)
{"formula": "KFe2Ru2", "functional": "PBE-GGA", "state": "relaxed", "cell": [[-2.0808, 2.0808, 5.1614], [2.0808, -2.0808, 5.1614], [2.0808, 2.0808, -5.1614]], "species": ["K", "Fe", "Fe", "Ru", "Ru"], "frac_coords": [[0.0000, 0.0000, 0.0000], [0.2500, 0.7500, 0.5000], [0.7500, 0.2500, 0.5000], [0.3803, 0.3803, 0.0000], [0.6197, 0.6197, 0.0000]], "formation_energy_ev_per_fu": 4.02, "m_tot_mub_per_fu": 5.5}

***

(3)
{"formula": "K2FeRu", "functional": "PBE-GGA", "state": "relaxed", "cell": [[-1.6410, 2.9698, 6.0137], [1.6410, -2.9698, 6.0137], [1.6410, 2.9698, -6.0137]], "species": ["K", "K", "Fe", "Ru"], "frac_coords": [[0.0000, 0.0000, 0.0000], [0.7047, 0.2047, 0.5000], [0.4122, 0.4122, 0.0000], [0.2813, 0.7813, 0.5000]], "formation_energy_ev_per_fu": 3.68, "m_tot_mub_per_fu": 4.2}

***

(4)
{"formula": "KFeRu2", "functional": "PBE-GGA", "state": "relaxed", "cell": [[4.3533, -1.4038, 0.0000], [4.3533, 1.4038, 0.0000], [-0.9445, 0.0000, 6.7511]], "species": ["K", "Fe", "Ru", "Ru"], "frac_coords": [[0.0000, 0.0000, 0.0000], [0.5000, 0.5000, 0.5000], [0.2178, 0.2178, 0.6404], [0.7822, 0.7822, 0.3596]], "formation_energy_ev_per_fu": 3.41, "m_tot_mub_per_fu": 2.9}

***

(5)
{"formula": "K2FeRu", "functional": "PBE-GGA", "state": "relaxed", "cell": [[2.7709, 0.0000, 0.0000], [0.0000, 5.7082, 0.0000], [-0.5409, 0.0000, 5.2476]], "species": ["K", "K", "Fe", "Ru"], "frac_coords": [[0.2341, 0.0000, 0.2502], [0.7659, 0.0000, 0.7498], [0.0000, 0.5000, 0.5000], [0.5000, 0.5000, 0.0000]], "formation_energy_ev_per_fu": 5.14, "m_tot_mub_per_fu": 3.1}

***

(6)
{"formula": "KFe2Ru", "functional": "PBE-GGA", "state": "relaxed", "cell": [[1.3796, 0.7965, 10.0643], [-1.3796, 0.7965, 10.0643], [0.0000, -1.5930, 10.0643]], "species": ["K", "Fe", "Fe", "Ru"], "frac_coords": [[0.0000, 0.0000, 0.0000], [0.2355, 0.2355, 0.2355], [0.7645, 0.7645, 0.7645], [0.5000, 0.5000, 0.5000]], "formation_energy_ev_per_fu": 3.46, "m_tot_mub_per_fu": 5.5}

***

(7)
{"formula": "KFeRu2", "functional": "PBE-GGA", "state": "relaxed", "cell": [[2.8786, -4.6983, 0.0000], [2.8786, 4.6983, 0.0000], [-0.3262, 0.0000, 2.4858]], "species": ["K", "Fe", "Ru", "Ru"], "frac_coords": [[0.0000, 0.0000, 0.0000], [0.5000, 0.5000, 0.0000], [0.0000, 0.5000, 0.5000], [0.5000, 0.0000, 0.5000]], "formation_energy_ev_per_fu": 4.99, "m_tot_mub_per_fu": 3.5}

***

(8)
{"formula": "KFeRu2", "functional": "PBE-GGA", "state": "relaxed", "cell": [[2.7263, 0.0000, 0.0000], [0.0000, 2.7263, 0.0000], [0.0000, 0.0000, 9.1061]], "species": ["K", "Fe", "Ru", "Ru"], "frac_coords": [[0.0000, 0.0000, 0.0000], [0.0000, 0.0000, 0.5000], [0.5000, 0.5000, 0.3135], [0.5000, 0.5000, 0.6865]], "formation_energy_ev_per_fu": 3.02, "m_tot_mub_per_fu": 2.3}

***

(9)
{"formula": "K2FeRu", "functional": "PBE-GGA", "state": "relaxed", "cell": [[1.4373, 0.8298, 11.5496], [-1.4373, 0.8298, 11.5496], [0.0000, -1.6597, 11.5496]], "species": ["K", "K", "Fe", "Ru"], "frac_coords": [[0.2471, 0.2471, 0.2471], [0.7529, 0.7529, 0.7529], [0.0000, 0.0000, 0.0000], [0.5000, 0.5000, 0.5000]], "formation_energy_ev_per_fu": 5.29, "m_tot_mub_per_fu": 2.5}

***

(10)
{"formula": "K2FeRu", "functional": "PBE-GGA", "state": "relaxed", "cell": [[1.9542, 1.1283, 9.7383], [-1.9542, 1.1283, 9.7383], [0.0000, -2.2565, 9.7383]], "species": ["K", "K", "Fe", "Ru"], "frac_coords": [[0.0000, 0.0000, 0.0000], [0.1786, 0.1786, 0.1786], [0.7560, 0.7560, 0.7560], [0.4226, 0.4226, 0.4226]], "formation_energy_ev_per_fu": 2.91, "m_tot_mub_per_fu": 0.1}

***

(11)
{"formula": "KFe3Ru", "functional": "PBE-GGA", "state": "relaxed", "cell": [[4.7875, 0.0000, 0.0000], [0.0000, 4.7875, 0.0000], [0.0000, 0.0000, 4.7875]], "species": ["K", "Fe", "Fe", "Fe", "Ru"], "frac_coords": [[0.0000, 0.0000, 0.0000], [0.0000, 0.5000, 0.5000], [0.5000, 0.0000, 0.5000], [0.5000, 0.5000, 0.0000], [0.5000, 0.5000, 0.5000]], "formation_energy_ev_per_fu": 5.99, "m_tot_mub_per_fu": 10.6}

***

(12)
{"formula": "KFeRu2", "functional": "PBE-GGA", "state": "relaxed", "cell": [[4.3515, -1.3717, 0.0000], [4.3515, 1.3717, 0.0000], [-0.5837, 0.0000, 6.9451]], "species": ["K", "Fe", "Ru", "Ru"], "frac_coords": [[0.0000, 0.0000, 0.0000], [0.7714, 0.7714, 0.3485], [0.2322, 0.2322, 0.6362], [0.4960, 0.4960, 0.5149]], "formation_energy_ev_per_fu": 3.19, "m_tot_mub_per_fu": 3.4}

***

(13)
{"formula": "K2FeRu", "functional": "PBE-GGA", "state": "relaxed", "cell": [[3.3517, 0.0000, 0.0000], [0.0000, 3.3534, 0.0000], [-0.0146, 0.0000, 10.1915]], "species": ["K", "K", "Fe", "Ru"], "frac_coords": [[0.0000, 0.0000, 0.0000], [0.4983, 0.5000, 0.5765], [0.4997, 0.5000, 0.2528], [0.9995, 0.0000, 0.3241]], "formation_energy_ev_per_fu": 2.80, "m_tot_mub_per_fu": 3.5}

***

(14)
{"formula": "KFe2Ru", "functional": "PBE-GGA", "state": "relaxed", "cell": [[-1.3191, 2.6167, 5.0589], [1.3191, -2.6167, 5.0589], [1.3191, 2.6167, -5.0589]], "species": ["K", "Fe", "Fe", "Ru"], "frac_coords": [[0.0000, 0.0000, 0.0000], [0.5051, 0.5051, 0.0000], [0.7085, 0.2085, 0.5000], [0.2928, 0.7928, 0.5000]], "formation_energy_ev_per_fu": 4.03, "m_tot_mub_per_fu": 6.0}

***

(15)
{"formula": "KFeRu2", "functional": "PBE-GGA", "state": "relaxed", "cell": [[0.0000, 3.2002, 3.2002], [3.2002, 0.0000, 3.2002], [3.2002, 3.2002, 0.0000]], "species": ["K", "Fe", "Ru", "Ru"], "frac_coords": [[0.0000, 0.0000, 0.0000], [0.7500, 0.7500, 0.7500], [0.2500, 0.2500, 0.2500], [0.5000, 0.5000, 0.5000]], "formation_energy_ev_per_fu": 5.33, "m_tot_mub_per_fu": 2.6}